The following is a DFT calculation (PBE) of crystalline Tl2Cr2SbTe6 at its relaxed geometry.

It has space group C2/m (No. 12), with a = 7.147 Å, b = 12.514 Å, c = 8.210 Å, α = 90.00°, β = 105.72° and γ = 90.00°. The asymmetric unit holds Tl at (0.000, 0.153, 0.000), Cr at (0.000, 0.331, 0.500), Sb at (0.000, 0.000, 0.500), Te at (0.193, 0.500, 0.692) and Te at (0.240, 0.181, 0.694).

***

The following is a DFT calculation (PBE) of crystalline AcDyAlPt at its relaxed geometry.

It has space group F-43m (No. 216), with a = 7.455 Å, b = 7.455 Å, c = 7.455 Å, α = 90.00°, β = 90.00° and γ = 90.00°. The asymmetric unit holds Ac at (0.000, 0.000, 0.000), Dy at (0.000, 0.000, 0.500), Al at (0.250, 0.250, 0.250) and Pt at (0.250, 0.250, 0.750).

***

The following is a DFT calculation (PBE) of crystalline Cs2Bi2Br at its relaxed geometry.

It has space group I4/mmm (No. 139), with a = 4.546 Å, b = 4.546 Å, c = 22.002 Å, α = 90.00°, β = 90.00° and γ = 90.00°. The asymmetric unit holds Cs at (0.000, 0.000, 0.094), Bi at (0.000, 0.500, 0.250) and Br at (0.000, 0.000, 0.500).

***

The following is a DFT calculation (PBE) of crystalline Sc4InSnN at its relaxed geometry.

It has space group Cmcm (No. 63), with a = 6.213 Å, b = 15.071 Å, c = 6.213 Å, α = 90.00°, β = 90.00° and γ = 90.00°. The asymmetric unit holds Sc at (0.000, 0.096, 0.250), Sc at (0.000, 0.404, 0.250), Sc at (0.250, 0.250, 0.000), In at (0.000, 0.107, 0.750), Sn at (0.000, 0.394, 0.750) and N at (0.000, 0.250, 0.250).

***

The following is a DFT calculation (PBE) of crystalline K2Ga4Au3 at its relaxed geometry.

It has space group Cmce (No. 64), with a = 5.959 Å, b = 16.945 Å, c = 8.112 Å, α = 90.00°, β = 90.00° and γ = 90.00°. The asymmetric unit holds K at (0.000, 0.102, 0.114), Ga at (0.000, 0.194, 0.485), Ga at (0.250, 0.070, 0.750), Au at (0.000, 0.000, 0.500) and Au at (0.250, 0.227, 0.750).

***

The following is a DFT calculation (PBE) of crystalline NaCd6 at its relaxed geometry.

It has space group Im-3m (No. 229), with a = 8.021 Å, b = 8.021 Å, c = 8.021 Å, α = 90.00°, β = 90.00° and γ = 90.00°. The asymmetric unit holds Na at (0.000, 0.000, 0.000) and Cd at (0.000, 0.250, 0.500).

***

The following is a DFT calculation (PBE) of crystalline Sc3Ta2NbC6 at its relaxed geometry.

It has space group C2/m (No. 12), with a = 5.552 Å, b = 9.619 Å, c = 5.627 Å, α = 90.00°, β = 109.21° and γ = 90.00°. The asymmetric unit holds Sc at (0.000, 0.000, 0.000), Sc at (0.000, 0.334, 0.000), Ta at (0.000, 0.167, 0.500), Nb at (0.000, 0.500, 0.500), C at (0.243, 0.000, 0.736) and C at (0.246, 0.332, 0.736).

***

The following is a DFT calculation (PBE) of crystalline Ca2CuCl at its relaxed geometry.

It has space group I-42d (No. 122), with a = 7.469 Å, b = 7.469 Å, c = 8.184 Å, α = 90.00°, β = 90.00° and γ = 90.00°. The asymmetric unit holds Ca at (0.248, 0.250, 0.125), Cu at (0.000, 0.000, 0.500) and Cl at (0.000, 0.000, 0.000).

***

The following is a DFT calculation (PBE) of crystalline Ge2AsOF at its relaxed geometry.

It has space group P4/mmm (No. 123), with a = 5.091 Å, b = 5.091 Å, c = 3.797 Å, α = 90.00°, β = 90.00° and γ = 90.00°. The asymmetric unit holds Ge at (0.000, 0.500, 0.000), As at (0.000, 0.000, 0.000), O at (0.000, 0.000, 0.500) and F at (0.500, 0.500, 0.500).

***

The following is a DFT calculation (PBE) of crystalline HoLuInOs at its relaxed geometry.

It has space group F-43m (No. 216), with a = 7.040 Å, b = 7.040 Å, c = 7.040 Å, α = 90.00°, β = 90.00° and γ = 90.00°. The asymmetric unit holds Ho at (0.000, 0.000, 0.000), Lu at (0.000, 0.000, 0.500), In at (0.250, 0.250, 0.250) and Os at (0.250, 0.250, 0.750).

***

The following is a DFT calculation (PBE) of crystalline ZnGa3 at its relaxed geometry.

It has space group Cmmm (No. 65), with a = 5.945 Å, b = 8.255 Å, c = 2.912 Å, α = 90.00°, β = 90.00° and γ = 90.00°. The asymmetric unit holds Zn at (0.000, 0.000, 0.000), Ga at (0.000, 0.500, 0.000) and Ga at (0.250, 0.250, 0.500).

***

The following is a DFT calculation (PBE) of crystalline Ca2POs at its relaxed geometry.

It has space group Cmmm (No. 65), with a = 6.340 Å, b = 8.309 Å, c = 3.004 Å, α = 90.00°, β = 90.00° and γ = 90.00°. The asymmetric unit holds Ca at (0.250, 0.250, 0.000), P at (0.000, 0.000, 0.500) and Os at (0.000, 0.500, 0.500).

***

Number 1: uncorrected energy -4.488 eV per atom, ρ 6.6 g/cm3, size of the total moment 5.23 μB/f.u.. Number 2: uncorrected energy -5.185 eV per atom, ρ 9.8 g/cm3, size of the total moment 0.00 μB/f.u.. Number 3: uncorrected energy -3.055 eV per atom, ρ 5.6 g/cm3, size of the total moment 0.00 μB/f.u.. Number 4: uncorrected energy -6.705 eV per atom, ρ 4.9 g/cm3, size of the total moment 0.00 μB/f.u.. Number 5: uncorrected energy -2.901 eV per atom, ρ 7.7 g/cm3, size of the total moment 0.00 μB/f.u.. Number 6: uncorrected energy -0.724 eV per atom, ρ 4.5 g/cm3, size of the total moment 0.00 μB/f.u.. Number 7: uncorrected energy -9.652 eV per atom, ρ 7.7 g/cm3, size of the total moment 0.00 μB/f.u.. Number 8: uncorrected energy -3.143 eV per atom, ρ 2.6 g/cm3, size of the total moment 0.00 μB/f.u.. Number 9: uncorrected energy -4.195 eV per atom, ρ 4.3 g/cm3, size of the total moment 0.00 μB/f.u.. Number 10: uncorrected energy -6.044 eV per atom, ρ 12.3 g/cm3, size of the total moment 0.00 μB/f.u.. Number 11: uncorrected energy -2.576 eV per atom, ρ 6.4 g/cm3, size of the total moment 0.00 μB/f.u.. Number 12: uncorrected energy -5.091 eV per atom, ρ 6.3 g/cm3, size of the total moment 0.00 μB/f.u..